Entry 1:
DFT (PBE) results for a relaxed LiGaSnPb crystal.

D(E_F) in states/eV/f.u.: 2.53
Calculated total energy in eV per atom: -3.24
Total moment in μB per formula unit: 0.00
Energy of formation in kJ per mole of atoms: -8

Geometry as POSCAR:
```
LiGaSnPb
1.0
0.000 3.627 3.627
3.627 0.000 3.627
3.627 3.627 0.000
Li Ga Sn Pb
1 1 1 1
direct
0.000 0.000 0.000
0.500 0.500 0.500
0.750 0.750 0.750
0.250 0.250 0.250
```

---

Entry 2:
DFT (PBE) results for a relaxed LiTbGaPb crystal.

D(E_F) in states/eV/f.u.: 2.09
Calculated total energy in eV per atom: -3.66
Total moment in μB per formula unit: 0.00
Energy of formation in kJ per mole of atoms: -33

Geometry as POSCAR:
```
LiTbGaPb
1.0
0.000 3.607 3.607
3.607 0.000 3.607
3.607 3.607 0.000
Li Tb Ga Pb
1 1 1 1
direct
0.000 0.000 0.000
0.500 0.500 0.500
0.250 0.250 0.250
0.750 0.750 0.750
```

---

Entry 3:
DFT (PBE) results for a relaxed LiZnGaPb crystal.

D(E_F) in states/eV/f.u.: 1.61
Calculated total energy in eV per atom: -2.52
Total moment in μB per formula unit: 0.00
Energy of formation in kJ per mole of atoms: -4

Geometry as POSCAR:
```
LiZnGaPb
1.0
0.000 3.435 3.435
3.435 0.000 3.435
3.435 3.435 0.000
Li Zn Ga Pb
1 1 1 1
direct
0.000 0.000 0.000
0.500 0.500 0.500
0.750 0.750 0.750
0.250 0.250 0.250
```